No. 1
RbNdCdSe3: optimized geometry, PBE-GGA.

Cell: 8.9326 4.3652 10.7526 Å, 90.00 108.58 90.00°
Last column: nearest neighbours and their distance in Å.
Atoms (fractional coordinates):
Cd  0.9182  0.7500  0.3862  4 Se 2.63-2.79
Cd  0.0818  0.2500  0.6138  4 Se 2.63-2.79
Nd  0.6875  0.2500  0.1294  6 Se 2.89-3.22
Nd  0.3125  0.7500  0.8706  6 Se 2.89-3.22
Rb  0.2515  0.2500  0.2722  6 Se 3.45-3.81
Rb  0.7485  0.7500  0.7278  6 Se 3.45-3.81
Se  0.9217  0.7500  0.1424  1 Cd 2.63
Se  0.4699  0.7500  0.1504  3 Nd 2.89-2.98
Se  0.7714  0.2500  0.4436  3 Cd 2.72-2.79
Se  0.2286  0.7500  0.5564  3 Cd 2.72-2.79
Se  0.5301  0.2500  0.8496  3 Nd 2.89-2.98
Se  0.0783  0.2500  0.8576  1 Cd 2.63

Properties
The total moment comes out at 0.0 Bohr magnetons per cell. For the electronic total energy, the calculation gives -4.18 eV per atom. The density is 4.8 Mg/m³. The value obtained for the calculated volume is 33.12 Å³/atom.

---

No. 2
Nd2CdSb2: optimized geometry, PBE-GGA.

Cell: 9.8931 9.8931 6.7399 Å, 90.00 90.00 153.51°
Last column: nearest neighbours and their distance in Å.
Atoms (fractional coordinates):
Cd  0.4004  0.5996  0.0491  3 Sb 2.88-2.93
Cd  0.5996  0.4004  0.5491  3 Sb 2.88-2.93
Nd  0.0123  0.9877  0.2471  5 Sb 3.23-3.43, 4 Cd 3.40-3.48, 2 Nd 3.40
Nd  0.7999  0.2001  0.4254  6 Sb 3.16-3.43
Nd  0.9877  0.0123  0.7471  5 Sb 3.23-3.43, 4 Cd 3.40-3.48, 2 Nd 3.40
Nd  0.2001  0.7999  0.9254  6 Sb 3.16-3.43
Sb  0.1797  0.8203  0.4200  2 Cd 2.88
Sb  0.4123  0.5877  0.4825  1 Cd 2.93, 4 Nd 3.16-3.23
Sb  0.8203  0.1797  0.9200  2 Cd 2.88
Sb  0.5877  0.4123  0.9825  1 Cd 2.93, 4 Nd 3.16-3.23

Properties
The total moment comes out at 0.0 Bohr magnetons per cell. For the electronic total energy, the calculation gives -4.50 eV per atom. The density is 7.3 Mg/m³. The value obtained for the calculated volume is 29.43 Å³/atom.

---

No. 3
SrNdCdSb2: optimized geometry, PBE-GGA.

Cell: 9.5546 9.5546 7.1554 Å, 90.00 90.00 151.11°
Last column: nearest neighbours and their distance in Å.
Atoms (fractional coordinates):
Cd  0.4040  0.5960  0.4447  3 Sb 2.86-2.98
Cd  0.5960  0.4040  0.9447  3 Sb 2.86-2.98
Nd  0.0121  0.9879  0.2647  5 Sb 3.26-3.31, 4 Cd 3.37-3.65, 2 Nd 3.61
Nd  0.9879  0.0121  0.7647  5 Sb 3.26-3.31, 4 Cd 3.37-3.65, 2 Nd 3.61
Sb  0.4260  0.5740  0.0329  2 Cd 2.98-3.21, 4 Nd 3.27-3.31
Sb  0.1692  0.8308  0.0568  2 Cd 2.86
Sb  0.5740  0.4260  0.5329  2 Cd 2.98-3.21, 4 Nd 3.27-3.31
Sb  0.8308  0.1692  0.5568  2 Cd 2.86
Sr  0.7987  0.2013  0.0665  6 Sb 3.36-3.69
Sr  0.2013  0.7987  0.5665  6 Sb 3.36-3.69

Properties
The total moment comes out at 0.1 Bohr magnetons per cell. For the electronic total energy, the calculation gives -3.91 eV per atom. The density is 6.2 Mg/m³. The value obtained for the calculated volume is 31.56 Å³/atom.

---

No. 4
NdTlCdSe3: optimized geometry, PBE-GGA.

Cell: 7.6590 7.6590 11.3952 Å, 90.00 90.00 32.86°
Last column: nearest neighbours and their distance in Å.
Atoms (fractional coordinates):
Cd  0.4612  0.4612  0.2500  4 Se 2.63-2.72
Cd  0.5388  0.5388  0.7500  4 Se 2.63-2.72
Nd  0.0000  0.0000  0.0000  6 Se 2.99-3.05
Nd  0.0000  0.0000  0.5000  6 Se 2.99-3.05
Se  0.3660  0.3660  0.0550  1 Cd 2.63
Se  0.0735  0.0735  0.2500  2 Cd 2.72, 2 Nd 3.05
Se  0.3660  0.3660  0.4450  1 Cd 2.63
Se  0.6340  0.6340  0.5550  1 Cd 2.63
Se  0.9265  0.9265  0.7500  2 Cd 2.72, 2 Nd 3.05
Se  0.6340  0.6340  0.9450  1 Cd 2.63
Tl  0.7501  0.7501  0.2500  6 Se 3.38-3.54, 2 Cd 3.78
Tl  0.2499  0.2499  0.7500  6 Se 3.38-3.54, 2 Cd 3.78

Properties
The total moment comes out at 0.0 Bohr magnetons per cell. For the electronic total energy, the calculation gives -4.16 eV per atom. The density is 6.4 Mg/m³. The value obtained for the calculated volume is 30.22 Å³/atom. The relative energy among the computed polymorphs is 0 kJ/mol of formula units.

---

No. 5
NdTlCdSe3: optimized geometry, PBE-GGA.

Cell: 12.1921 4.4468 12.7770 Å, 90.00 90.00 90.00°
Last column: nearest neighbours and their distance in Å.
Atoms (fractional coordinates):
Cd  0.7507  0.0000  0.2024  4 Se 2.64-2.69
Cd  0.2507  0.0000  0.2976  4 Se 2.64-2.69
Cd  0.7493  0.5000  0.7024  4 Se 2.64-2.69
Cd  0.2493  0.5000  0.7976  4 Se 2.64-2.69
Nd  0.4752  0.5000  0.1734  6 Se 3.01-3.11
Nd  0.9752  0.5000  0.3266  6 Se 3.01-3.11
Nd  0.0248  0.0000  0.6734  6 Se 3.01-3.11
Nd  0.5248  0.0000  0.8266  6 Se 3.01-3.11
Se  0.5932  0.0000  0.0611  1 Cd 2.64
Se  0.9653  0.0000  0.1650  1 Cd 2.66
Se  0.2271  0.5000  0.1806  2 Cd 2.69
Se  0.7271  0.5000  0.3194  2 Cd 2.69
Se  0.4653  0.0000  0.3349  1 Cd 2.66
Se  0.0932  0.0000  0.4389  1 Cd 2.64
Se  0.9068  0.5000  0.5611  1 Cd 2.64
Se  0.5347  0.5000  0.6650  1 Cd 2.66
Se  0.2729  0.0000  0.6806  2 Cd 2.69
Se  0.7729  0.0000  0.8194  2 Cd 2.69
Se  0.0347  0.5000  0.8350  1 Cd 2.66
Se  0.4068  0.5000  0.9389  1 Cd 2.64
Tl  0.1625  0.0000  0.0010  5 Se 3.19-3.45
Tl  0.6625  0.0000  0.4990  5 Se 3.19-3.45
Tl  0.3375  0.5000  0.5010  5 Se 3.19-3.45
Tl  0.8375  0.5000  0.9990  5 Se 3.19-3.45

Properties
The total moment comes out at 0.0 Bohr magnetons per cell. For the electronic total energy, the calculation gives -4.14 eV per atom. The density is 6.7 Mg/m³. The value obtained for the calculated volume is 28.86 Å³/atom. The relative energy among the computed polymorphs is 10 kJ/mol of formula units.

---

No. 6
NdSmCd: optimized geometry, PBE-GGA.

Cell: 5.1209 5.1209 5.1209 Å, 60.00 60.00 60.00°
Last column: nearest neighbours and their distance in Å.
Atoms (fractional coordinates):
Cd  0.2500  0.2500  0.2500  4 Sm 3.14
Nd  0.7500  0.7500  0.7500  4 Sm 3.14
Sm  0.0000  0.0000  0.0000  4 Nd 3.14, 4 Cd 3.14

Properties
The total moment comes out at 0.0 Bohr magnetons per cell. For the electronic total energy, the calculation gives -3.05 eV per atom. The density is 7.1 Mg/m³. The value obtained for the calculated volume is 31.65 Å³/atom. As for the energy of formation: 0.406 eV per atom. The relative energy among the computed polymorphs is 0 kJ/mol of formula units.